NiCN2O (GGA+U, relaxed); density of states at the Fermi level = 0.3655 states/eV/atom; final energy = -20.16 eV per formula unit; theoretical density = 3693 kg/m3; magnetic moment = 0.6614 μB per atom
1.0
3.680 0.000 0.000
0.000 3.680 0.000
0.000 0.000 3.808
Ni C O N
1 1 1 2
Cartesian
0.000 0.000 0.000 Ni
1.840 1.840 1.904 C
0.000 0.000 1.904 O
0.000 1.840 0.000 N
1.840 0.000 0.000 N